1.
## ZnMoC (PBE)

Data for crystalline ZnMoC at its relaxed geometry.

uncorrected energy: -6.79 eV/atom
total moment: 0.00 μB/cell
SG: R-3m, No. 166
DOS(E_F): 2.027 states/eV per cell
ΔE_f: 321 meV/atom

Cell lengths 8.4631, 8.4631, 8.4631 Å; angles 23.82, 23.82, 23.82 degrees
Closest atoms and distances in Å follow each position.
Positions (direct):
Zn 0.1304 0.1304 0.1304  3 Zn 2.70, 3 C 2.88, 3 Mo 2.99
Zn 0.8696 0.8696 0.8696  3 Zn 2.70, 3 C 2.88, 3 Mo 2.99
Mo 0.3744 0.3744 0.3744  4 C 2.02-2.17
Mo 0.6256 0.6256 0.6256  4 C 2.02-2.17
C 0.2866 0.2866 0.2866  4 Mo 2.02-2.17
C 0.7134 0.7134 0.7134  4 Mo 2.02-2.17


2.
## ZnMoC3 (PBE)

Data for crystalline ZnMoC3 at its relaxed geometry.

uncorrected energy: -5.15 eV/atom
total moment: 0.00 μB/cell
SG: Pm-3m, No. 221
energy above the most stable polymorph in this dataset: 839.1 meV per atom
DOS(E_F): 5.541 states/eV per cell
ΔE_f: 2803 meV/atom

Cell lengths 3.8116, 3.8116, 3.8116 Å; angles 90.00, 90.00, 90.00 degrees
Closest atoms and distances in Å follow each position.
Positions (direct):
Zn 0.0000 0.0000 0.0000  6 C 1.91
Mo 0.5000 0.5000 0.5000  12 C 2.70
C 0.0000 0.0000 0.5000  2 Zn 1.91
C 0.0000 0.5000 0.0000  2 Zn 1.91
C 0.5000 0.0000 0.0000  2 Zn 1.91


3.
## ZnMoC3 (PBE)

Data for crystalline ZnMoC3 at its relaxed geometry.

uncorrected energy: -5.99 eV/atom
total moment: 0.00 μB/cell
SG: Pm-3m, No. 221
energy above the most stable polymorph in this dataset: 0.0 meV per atom
DOS(E_F): 4.348 states/eV per cell
ΔE_f: 1963 meV/atom

Cell lengths 4.1080, 4.1080, 4.1080 Å; angles 90.00, 90.00, 90.00 degrees
Closest atoms and distances in Å follow each position.
Positions (direct):
Zn 0.0000 0.0000 0.0000  12 C 2.90
Mo 0.5000 0.5000 0.5000  6 C 2.05
C 0.0000 0.5000 0.5000  2 Mo 2.05
C 0.5000 0.0000 0.5000  2 Mo 2.05
C 0.5000 0.5000 0.0000  2 Mo 2.05


4.
## ZnMo2C (PBE)

Data for crystalline ZnMo2C at its relaxed geometry.

uncorrected energy: -8.06 eV/atom
total moment: 0.00 μB/cell
SG: R3m, No. 160
energy above the most stable polymorph in this dataset: 0.0 meV per atom
DOS(E_F): 2.936 states/eV per cell
ΔE_f: -19 meV/atom

Cell lengths 7.0195, 7.0195, 7.0195 Å; angles 24.79, 24.79, 24.79 degrees
Closest atoms and distances in Å follow each position.
Positions (direct):
Zn 0.0000 0.0000 0.0000  6 Mo 2.80, 6 Zn 3.01
Mo 0.5590 0.5590 0.5590  3 C 2.12
Mo 0.7744 0.7744 0.7744  3 C 2.11
C 0.1665 0.1665 0.1665  6 Mo 2.11-2.12


5.
## Zr3MoC (PBE)

Data for crystalline Zr3MoC at its relaxed geometry.

uncorrected energy: -7.23 eV/atom
total moment: 0.00 μB/cell
SG: Pm-3m, No. 221
energy above the most stable polymorph in this dataset: 2009.2 meV per atom
DOS(E_F): 10.796 states/eV per cell
ΔE_f: 1905 meV/atom

Cell lengths 4.9793, 4.9793, 4.9793 Å; angles 90.00, 90.00, 90.00 degrees
Closest atoms and distances in Å follow each position.
Positions (direct):
Zr 0.0000 0.0000 0.5000  2 Mo 2.49
Zr 0.0000 0.5000 0.0000  2 Mo 2.49
Zr 0.5000 0.0000 0.0000  2 Mo 2.49
Mo 0.0000 0.0000 0.0000  6 Zr 2.49
C 0.5000 0.5000 0.5000  12 Zr 3.52


6.
## Zr2MoC (PBE)

Data for crystalline Zr2MoC at its relaxed geometry.

uncorrected energy: -9.48 eV/atom
total moment: 0.00 μB/cell
SG: R3m, No. 160
DOS(E_F): 5.675 states/eV per cell
ΔE_f: -192 meV/atom

Cell lengths 7.9838, 7.9838, 7.9838 Å; angles 22.86, 22.86, 22.86 degrees
Closest atoms and distances in Å follow each position.
Positions (direct):
Zr 0.0000 0.0000 0.0000  3 Mo 3.12, 9 Zr 3.16-3.30
Zr 0.2155 0.2155 0.2155  3 C 2.30
Mo 0.7751 0.7751 0.7751  3 C 2.14
C 0.4892 0.4892 0.4892  3 Mo 2.14, 3 Zr 2.30


7.
## Zr2MoC (PBE)

Data for crystalline Zr2MoC at its relaxed geometry.

uncorrected energy: -8.24 eV/atom
total moment: 0.00 μB/cell
SG: F-43m, No. 216
DOS(E_F): 4.252 states/eV per cell
ΔE_f: 1052 meV/atom

Cell lengths 4.4653, 4.4653, 4.4653 Å; angles 60.00, 60.00, 60.00 degrees
Closest atoms and distances in Å follow each position.
Positions (direct):
Zr 0.0000 0.0000 0.0000  4 Mo 2.73, 4 Zr 2.73
Zr 0.2500 0.2500 0.2500  4 Zr 2.73, 4 C 2.73
Mo 0.7500 0.7500 0.7500  4 C 2.73, 4 Zr 2.73
C 0.5000 0.5000 0.5000  4 Mo 2.73, 4 Zr 2.73


8.
## Zr2MoC (PBE)

Data for crystalline Zr2MoC at its relaxed geometry.

uncorrected energy: -8.92 eV/atom
total moment: 0.00 μB/cell
SG: C2/m, No. 12
DOS(E_F): 2.485 states/eV per cell
ΔE_f: 370 meV/atom

Cell lengths 4.6841, 4.6841, 5.4596 Å; angles 112.89, 112.89, 39.51 degrees
Closest atoms and distances in Å follow each position.
Positions (direct):
Zr 0.1915 0.1915 0.2060  2 C 2.25
Zr 0.8085 0.8085 0.7940  2 C 2.25
Mo 0.0000 0.0000 0.5000  6 Zr 2.77-2.98
C 0.5000 0.5000 0.0000  4 Zr 2.25


9.
## Zr2MoC (PBE)

Data for crystalline Zr2MoC at its relaxed geometry.

uncorrected energy: -9.10 eV/atom
total moment: 0.00 μB/cell
SG: Cmm2, No. 35
DOS(E_F): 3.492 states/eV per cell
ΔE_f: 192 meV/atom

Cell lengths 3.0121, 3.0121, 8.1528 Å; angles 90.00, 90.00, 115.12 degrees
Closest atoms and distances in Å follow each position.
Positions (direct):
Zr 0.0000 0.0000 0.0000  2 C 2.31
Zr 0.5000 0.5000 0.3340  2 Mo 2.94, 8 Zr 3.01-3.23
Mo 0.0000 0.0000 0.6357  2 C 2.08
C 0.5000 0.5000 0.7971  2 Mo 2.08, 2 Zr 2.31


10.
## Zr2MoC (PBE)

Data for crystalline Zr2MoC at its relaxed geometry.

uncorrected energy: -9.08 eV/atom
total moment: 0.00 μB/cell
SG: P2/m, No. 10
DOS(E_F): 3.245 states/eV per cell
ΔE_f: 207 meV/atom

Cell lengths 3.3664, 3.2502, 6.1997 Å; angles 90.00, 100.28, 90.00 degrees
Closest atoms and distances in Å follow each position.
Positions (direct):
Zr 0.1361 0.0000 0.2779  2 C 2.33
Zr 0.8639 0.0000 0.7221  2 C 2.33
Mo 0.5000 0.5000 0.0000  8 Zr 2.80-2.98, 2 C 3.10
C 0.5000 0.5000 0.5000  4 Zr 2.33


11.
## Zr2MoC (PBE)

Data for crystalline Zr2MoC at its relaxed geometry.

uncorrected energy: -9.22 eV/atom
total moment: 0.00 μB/cell
SG: Cmmm, No. 65
DOS(E_F): 2.052 states/eV per cell
ΔE_f: 64 meV/atom

Cell lengths 3.0424, 3.0424, 7.6095 Å; angles 90.00, 90.00, 112.13 degrees
Closest atoms and distances in Å follow each position.
Positions (direct):
Zr 0.0000 0.0000 0.2040  2 C 2.30
Zr 0.0000 0.0000 0.7960  2 C 2.30
Mo 0.5000 0.5000 0.5000  4 Zr 2.82, 4 Mo 3.04
C 0.5000 0.5000 0.0000  4 Zr 2.30


12.
## Zr2MoC (PBE)

Data for crystalline Zr2MoC at its relaxed geometry.

uncorrected energy: -8.92 eV/atom
total moment: 0.00 μB/cell
SG: Immm, No. 71
DOS(E_F): 3.247 states/eV per cell
ΔE_f: 370 meV/atom

Cell lengths 5.6216, 5.6216, 5.6216 Å; angles 148.26, 131.93, 58.76 degrees
Closest atoms and distances in Å follow each position.
Positions (direct):
Zr 0.1653 0.1653 0.0000  2 C 2.23
Zr 0.8347 0.8347 0.0000  2 C 2.23
Mo 0.5000 0.0000 0.5000  4 C 2.76, 4 Zr 2.80, 2 Mo 3.07
C 0.0000 0.5000 0.5000  4 Zr 2.23


13.
## Zr2MoC (PBE)

Data for crystalline Zr2MoC at its relaxed geometry.

uncorrected energy: -8.53 eV/atom
total moment: 0.00 μB/cell
SG: I-4m2, No. 119
DOS(E_F): 5.808 states/eV per cell
ΔE_f: 759 meV/atom

Cell lengths 5.6054, 5.6054, 5.6054 Å; angles 141.94, 141.94, 54.92 degrees
Closest atoms and distances in Å follow each position.
Positions (direct):
Zr 0.0000 0.0000 0.0000  4 Mo 2.58
Zr 0.7500 0.2500 0.5000  4 C 2.58
Mo 0.5000 0.5000 0.0000  4 Zr 2.58
C 0.2500 0.7500 0.5000  4 Zr 2.58


14.
## Zr2MoC2 (PBE)

Data for crystalline Zr2MoC2 at its relaxed geometry.

uncorrected energy: -9.57 eV/atom
total moment: 0.00 μB/cell
SG: P4/mbm, No. 127
DOS(E_F): 0.530 states/eV per cell
ΔE_f: -295 meV/atom

Cell lengths 6.2399, 6.2399, 3.3617 Å; angles 90.00, 90.00, 90.00 degrees
Closest atoms and distances in Å follow each position.
Positions (direct):
Zr 0.1647 0.3353 0.0000  6 C 2.33-2.60
Zr 0.3353 0.8353 0.0000  6 C 2.33-2.60
Zr 0.6647 0.1647 0.0000  6 C 2.33-2.60
Zr 0.8353 0.6647 0.0000  6 C 2.33-2.60
Mo 0.0000 0.0000 0.5000  4 C 2.37
Mo 0.5000 0.5000 0.5000  4 C 2.37
C 0.1526 0.6526 0.5000  6 Zr 2.33-2.60, 2 Mo 2.37
C 0.3474 0.1526 0.5000  6 Zr 2.33-2.60, 2 Mo 2.37
C 0.6526 0.8474 0.5000  6 Zr 2.33-2.60, 2 Mo 2.37
C 0.8474 0.3474 0.5000  6 Zr 2.33-2.60, 2 Mo 2.37